A PBEsol-optimized structure of TlSb, computed with SCAN.

Cell: 3.933 3.933 7.344 Å, 90.00 90.00 90.00°
Atoms (fractional coordinates):
Tl  0.250  0.250  0.136
Tl  0.750  0.750  0.864
Sb  0.250  0.250  0.594
Sb  0.750  0.750  0.406

Results
E: -54.77 eV/atom
total magnetization: 0.000 μB per formula unit
space group: No. 129
raw formation energy: 0.04 eV per atom

=====

A PBEsol-optimized structure of Tl5Sb4, computed with SCAN.

Cell: 9.353 9.353 6.667 Å, 90.00 90.00 120.00°
Atoms (fractional coordinates):
Tl  0.000  0.362  0.250
Tl  0.000  0.638  0.750
Tl  0.333  0.667  0.000
Tl  0.333  0.667  0.500
Tl  0.362  0.000  0.250
Tl  0.362  0.362  0.750
Tl  0.638  0.000  0.750
Tl  0.638  0.638  0.250
Tl  0.667  0.333  0.000
Tl  0.667  0.333  0.500
Sb  0.000  0.000  0.000
Sb  0.000  0.000  0.500
Sb  0.000  0.292  0.750
Sb  0.000  0.708  0.250
Sb  0.292  0.000  0.750
Sb  0.292  0.292  0.250
Sb  0.708  0.000  0.250
Sb  0.708  0.708  0.750

Results
E: -56.69 eV/atom
total magnetization: 0.000 μB per formula unit
space group: No. 193
E above lowest polymorph: 0.0000 eV per atom
raw formation energy: 0.07 eV per atom

=====

A PBEsol-optimized structure of Tl5Sb4, computed with SCAN.

Cell: 7.490 7.490 7.490 Å, 96.71 96.71 140.03°
Atoms (fractional coordinates):
Tl  0.000  0.000  0.000
Tl  0.330  0.330  0.661
Tl  0.330  0.670  0.000
Tl  0.670  0.330  0.000
Tl  0.670  0.670  0.339
Sb  0.000  0.348  0.348
Sb  0.000  0.652  0.652
Sb  0.348  0.000  0.348
Sb  0.652  0.000  0.652

Results
E: -56.66 eV/atom
total magnetization: 0.000 μB per formula unit
space group: No. 139
E above lowest polymorph: 0.0232 eV per atom
raw formation energy: 0.10 eV per atom

=====

The highest E belongs to which entry?
TlSb

=====

Which of these has the highest E?
TlSb

=====

Among the records above, which one has the highest E?
TlSb